Computed, not measured: crystalline Mn2InAg2S6 at its relaxed geometry at the PBE level of DFT.

Output
- Electronic total energy: -5.051 eV per atom
- N(E_F): 3.0 states/eV/f.u.
- Energy relative to the elements, uncorrected: -0.365 eV per atom

```
data_Mn2InAg2S6
_space_group_name_H-M_alt 'P 1'
_space_group_IT_number 1
_cell_length_a 6.238
_cell_length_b 6.238
_cell_length_c 6.680
_cell_angle_alpha 98.08
_cell_angle_beta 98.08
_cell_angle_gamma 120.49
loop_
_space_group_symop_operation_xyz
'x,y,z'
loop_
_atom_site_label
_atom_site_type_symbol
_atom_site_fract_x
_atom_site_fract_y
_atom_site_fract_z
Mn1 Mn 0.334 0.666 0.500
Mn2 Mn 0.666 0.334 0.500
In1 In 0.000 0.000 0.500
Ag1 Ag 0.845 0.155 0.000
Ag2 Ag 0.155 0.845 0.000
S1 S 0.707 0.707 0.715
S2 S 0.056 0.421 0.717
S3 S 0.293 0.293 0.285
S4 S 0.421 0.056 0.717
S5 S 0.944 0.579 0.283
S6 S 0.579 0.944 0.283
```